VASP calculation (PBE) on crystalline Y4HoEr2Sc at its relaxed geometry.

Lattice parameters (Å, degrees): 4.966 4.973 11.098 63.39 90.00 90.00
Fractional coordinates of all 8 atoms:
1 Y 0.000 0.245 0.255
2 Y 0.000 0.755 0.745
3 Y 0.500 0.745 0.255
4 Y 0.500 0.255 0.745
5 Ho 0.500 0.500 0.000
6 Er 0.500 0.000 0.500
7 Er 0.000 0.000 0.000
8 Sc 0.000 0.500 0.500

formation enthalpy at 0 K	0.0387	eV per atom
SG	P4/mmm, No. 123
total moment	0.000	μB per atom